# 1
# meta-GGA SCAN LaTa2Mo, PBEsol geometry
data_LaTa2Mo
_symmetry_space_group_name_H-M 'P 4/m m m'
_symmetry_Int_Tables_number 123
_symmetry_space_group_name_Hall '-P 4 2'
_cell_length_a 3.943
_cell_length_b 3.943
_cell_length_c 5.069
_cell_angle_alpha 90.00
_cell_angle_beta 90.00
_cell_angle_gamma 90.00
loop_
_atom_site_label
_atom_site_fract_x
_atom_site_fract_y
_atom_site_fract_z
La1 0.000 0.000 0.000
Ta1 0.000 0.500 0.500
Mo1 0.500 0.500 0.000
# Fermi-level density of states: 1.15 states/eV/atom
# uncorrected energy: -51.989 eV per atom
# distance to the lowest polymorph of the same formula: 0.310 eV per atom
# formation energy: 0.8006 eV/atom

---

# 2
# meta-GGA SCAN CaHfWI2, PBEsol geometry
data_CaHfWI2
_symmetry_space_group_name_H-M 'P 4/m m m'
_symmetry_Int_Tables_number 123
_symmetry_space_group_name_Hall '-P 4 2'
_cell_length_a 5.216
_cell_length_b 5.216
_cell_length_c 5.681
_cell_angle_alpha 90.00
_cell_angle_beta 90.00
_cell_angle_gamma 90.00
loop_
_atom_site_label
_atom_site_fract_x
_atom_site_fract_y
_atom_site_fract_z
Ca1 0.000 0.000 0.000
Hf1 0.500 0.500 0.000
W1 0.000 0.000 0.500
I1 0.000 0.500 0.500
# Fermi-level density of states: 0.74 states/eV/atom
# formation energy (no corrections): 1.48 eV per atom
# uncorrected energy: -41.617 eV per atom

---

# 3
# meta-GGA SCAN MnTe3, PBEsol geometry
data_MnTe3
_symmetry_space_group_name_H-M 'P 4/m m m'
_symmetry_Int_Tables_number 123
_symmetry_space_group_name_Hall '-P 4 2'
_cell_length_a 3.117
_cell_length_b 3.117
_cell_length_c 9.880
_cell_angle_alpha 90.00
_cell_angle_beta 90.00
_cell_angle_gamma 90.00
loop_
_atom_site_label
_atom_site_fract_x
_atom_site_fract_y
_atom_site_fract_z
Mn1 0.000 0.000 0.000
Te1 0.000 0.000 0.500
Te2 0.500 0.500 0.163
# Fermi-level density of states: 0.67 states/eV/atom
# formation energy (no corrections): 0.11 eV per atom
# uncorrected energy: -32.393 eV per atom

---

# 4
# meta-GGA SCAN Li17Cl5O6, PBEsol geometry
data_Li17Cl5O6
_symmetry_space_group_name_H-M 'P 1 m 1'
_symmetry_Int_Tables_number 6
_cell_length_a 5.471
_cell_length_b 3.772
_cell_length_c 16.388
_cell_angle_alpha 90.00
_cell_angle_beta 92.57
_cell_angle_gamma 90.00
loop_
_symmetry_equiv_pos_as_xyz
'x,y,z'
'x,-y,z'
loop_
_atom_site_label
_atom_site_fract_x
_atom_site_fract_y
_atom_site_fract_z
Li1 0.000 0.000 0.000
Li2 0.001 0.000 0.831
Li3 0.023 0.000 0.343
Li4 0.055 0.000 0.169
Li5 0.233 0.500 0.750
Li6 0.274 0.500 0.081
Li7 0.280 0.500 0.412
Li8 0.471 0.000 0.657
Li9 0.503 0.000 0.825
Li10 0.509 0.000 0.992
Li11 0.526 0.000 0.317
Li12 0.548 0.000 0.157
Li13 0.589 0.000 0.474
Li14 0.755 0.500 0.913
Li15 0.760 0.500 0.564
Li16 0.801 0.500 0.247
Li17 0.940 0.000 0.669
Cl1 0.256 0.500 0.901
Cl2 0.299 0.500 0.235
Cl3 0.735 0.500 0.748
Cl4 0.773 0.500 0.074
Cl5 0.817 0.500 0.414
O1 0.230 0.000 0.735
O2 0.275 0.000 0.074
O3 0.321 0.000 0.404
O4 0.711 0.000 0.583
O5 0.755 0.000 0.911
O6 0.797 0.000 0.244
# Fermi-level density of states: 0.00 states/eV/atom
# formation energy (no corrections): -1.95 eV per atom
# uncorrected energy: -6.158 eV per atom

---

# 5
# meta-GGA SCAN InFeWO2, PBEsol geometry
data_InFeWO2
_symmetry_space_group_name_H-M 'P 4/m m m'
_symmetry_Int_Tables_number 123
_symmetry_space_group_name_Hall '-P 4 2'
_cell_length_a 3.761
_cell_length_b 3.761
_cell_length_c 4.797
_cell_angle_alpha 90.00
_cell_angle_beta 90.00
_cell_angle_gamma 90.00
loop_
_atom_site_label
_atom_site_fract_x
_atom_site_fract_y
_atom_site_fract_z
In1 0.000 0.000 0.000
Fe1 0.500 0.500 0.500
W1 0.500 0.500 0.000
O1 0.000 0.500 0.500
# Fermi-level density of states: 0.58 states/eV/atom
# formation energy (no corrections): 0.23 eV per atom
# uncorrected energy: -26.500 eV per atom

---

# 6
# meta-GGA SCAN KCoCl, PBEsol geometry
data_KCoCl
_symmetry_space_group_name_H-M 'F m m 2'
_symmetry_Int_Tables_number 42
_symmetry_space_group_name_Hall 'F 2 -2'
_cell_length_a 4.030
_cell_length_b 5.408
_cell_length_c 11.824
_cell_angle_alpha 90.00
_cell_angle_beta 90.00
_cell_angle_gamma 90.00
loop_
_atom_site_label
_atom_site_fract_x
_atom_site_fract_y
_atom_site_fract_z
K1 0.000 0.000 0.000
Co1 0.000 0.000 0.282
Cl1 0.000 0.000 0.696
# Fermi-level density of states: 0.49 states/eV/atom
# formation energy (no corrections): -0.08 eV per atom
# uncorrected energy: -11.288 eV per atom
# distance to the lowest polymorph of the same formula: 0.000 eV per atom

---

# 7
# meta-GGA SCAN CoPt2Se, PBEsol geometry
data_CoPt2Se
_symmetry_space_group_name_H-M 'I -4 m 2'
_symmetry_Int_Tables_number 119
_symmetry_space_group_name_Hall 'I -4 -2'
_cell_length_a 3.972
_cell_length_b 3.972
_cell_length_c 7.409
_cell_angle_alpha 90.00
_cell_angle_beta 90.00
_cell_angle_gamma 90.00
loop_
_atom_site_label
_atom_site_fract_x
_atom_site_fract_y
_atom_site_fract_z
Co1 0.000 0.000 0.000
Pt1 0.000 0.000 0.500
Pt2 0.000 0.500 0.250
Se1 0.000 0.500 0.750
# Fermi-level density of states: 0.77 states/eV/atom
# formation energy (no corrections): 0.28 eV per atom
# uncorrected energy: -44.158 eV per atom

---

# 8
# meta-GGA SCAN K3HgH, PBEsol geometry
data_K3HgH
_symmetry_space_group_name_H-M 'P m -3 m'
_symmetry_Int_Tables_number 221
_symmetry_space_group_name_Hall '-P 4 2 3'
_cell_length_a 5.428
_cell_length_b 5.428
_cell_length_c 5.428
_cell_angle_alpha 90.00
_cell_angle_beta 90.00
_cell_angle_gamma 90.00
loop_
_atom_site_label
_atom_site_fract_x
_atom_site_fract_y
_atom_site_fract_z
K1 0.000 0.000 0.500
Hg1 0.500 0.500 0.500
H1 0.000 0.000 0.000
# Fermi-level density of states: 0.64 states/eV/atom
# uncorrected energy: -19.498 eV per atom

---

# 9
# meta-GGA SCAN TcAgBr2, PBEsol geometry
data_TcAgBr2
_symmetry_space_group_name_H-M 'I m m 2'
_symmetry_Int_Tables_number 44
_cell_length_a 3.027
_cell_length_b 4.410
_cell_length_c 12.101
_cell_angle_alpha 90.00
_cell_angle_beta 90.00
_cell_angle_gamma 90.00
loop_
_symmetry_equiv_pos_as_xyz
'x,y,z'
'-x,-y,z'
'-x,y,z'
'x,-y,z'
'x+1/2,y+1/2,z+1/2'
'-x+1/2,-y+1/2,z+1/2'
'-x+1/2,y+1/2,z+1/2'
'x+1/2,-y+1/2,z+1/2'
loop_
_atom_site_label
_atom_site_fract_x
_atom_site_fract_y
_atom_site_fract_z
Tc1 0.000 0.000 0.000
Ag1 0.000 0.500 0.700
Br1 0.000 0.000 0.532
Br2 0.000 0.500 0.330
# Fermi-level density of states: 0.53 states/eV/atom
# formation energy (no corrections): 0.50 eV per atom
# uncorrected energy: -25.837 eV per atom
# distance to the lowest polymorph of the same formula: 0.000 eV per atom

---

# 10
# meta-GGA SCAN CrRh2Br, PBEsol geometry
data_CrRh2Br
_symmetry_space_group_name_H-M 'R 3 m'
_symmetry_Int_Tables_number 160
_symmetry_space_group_name_Hall 'R 3 -2"'
_cell_length_a 2.8161
_cell_length_b 2.8161
_cell_length_c 24.7075
_cell_angle_alpha 90.00
_cell_angle_beta 90.00
_cell_angle_gamma 120.00
loop_
_atom_site_label
_atom_site_fract_x
_atom_site_fract_y
_atom_site_fract_z
Cr1 0.0000 0.0000 0.0000
Rh1 0.0000 0.0000 0.5007
Rh2 0.0000 0.0000 0.7458
Br1 0.0000 0.0000 0.2597
# Fermi-level density of states: 0.97 states/eV/atom
# formation energy (no corrections): 0.50 eV per atom
# uncorrected energy: -25.850 eV per atom
# distance to the lowest polymorph of the same formula: 0.038 eV per atom

---

# 11
# meta-GGA SCAN Ba3GaSe4Cl, PBEsol geometry
data_Ba3GaSe4Cl
_symmetry_space_group_name_H-M 'P n m a'
_symmetry_Int_Tables_number 62
_cell_length_a 12.670
_cell_length_b 9.838
_cell_length_c 8.676
_cell_angle_alpha 90.00
_cell_angle_beta 90.00
_cell_angle_gamma 90.00
loop_
_symmetry_equiv_pos_as_xyz
'x,y,z'
'-x,-y,-z'
'-x+1/2,-y,z+1/2'
'x+1/2,y,-z+1/2'
'x+1/2,-y+1/2,-z+1/2'
'-x+1/2,y+1/2,z+1/2'
'-x,y+1/2,-z'
'x,-y+1/2,z'
loop_
_atom_site_label
_atom_site_fract_x
_atom_site_fract_y
_atom_site_fract_z
Ba1 0.006 0.250 0.080
Ba2 0.170 0.019 0.576
Ga1 0.110 0.750 0.314
Se1 0.006 0.750 0.544
Se2 0.076 0.541 0.190
Se3 0.204 0.250 0.860
Cl1 0.231 0.750 0.841
# Fermi-level density of states: 0.00 states/eV/atom
# formation energy (no corrections): -1.99 eV per atom
# uncorrected energy: -26.798 eV per atom

---

# 12
# meta-GGA SCAN MnTcMo2, PBEsol geometry
data_MnTcMo2
_symmetry_space_group_name_H-M 'I -4 m 2'
_symmetry_Int_Tables_number 119
_symmetry_space_group_name_Hall 'I -4 -2'
_cell_length_a 3.735
_cell_length_b 3.735
_cell_length_c 8.058
_cell_angle_alpha 90.00
_cell_angle_beta 90.00
_cell_angle_gamma 90.00
loop_
_atom_site_label
_atom_site_fract_x
_atom_site_fract_y
_atom_site_fract_z
Mn1 0.000 0.000 0.000
Tc1 0.000 0.500 0.750
Mo1 0.000 0.000 0.500
Mo2 0.000 0.500 0.250
# Fermi-level density of states: 0.82 states/eV/atom
# uncorrected energy: -30.573 eV per atom
# distance to the lowest polymorph of the same formula: 0.181 eV per atom
# formation energy: 0.1986 eV/atom